This record from Alexandria describes a geometry-optimized Y4AgIr structure. The functional is PBE.

a = 5.9959 Å, b = 5.9959 Å, c = 5.9959 Å
α = 60.00°, β = 60.00°, γ = 60.00°
Closest atoms and distances in Å follow each position.
Fractional coordinates of all 6 atoms:
Y 0.3736 0.8793 0.3736  6 Y 2.96-3.03
Y 0.8793 0.3736 0.3736  6 Y 2.96-3.03
Y 0.3736 0.3736 0.3736  6 Y 2.96-3.03
Y 0.3736 0.3736 0.8793  6 Y 2.96-3.03
Ag 0.7500 0.7500 0.7500  12 Y 3.52, 4 Ir 3.67
Ir 0.0000 0.0000 0.0000  12 Y 3.51, 4 Ag 3.67

ΔE_f: 0.636 eV/atom
N(E_F): 9.7 states/eV/f.u.
SG: F-43m, No. 216
energy relative to the lowest polymorph listed for this composition: 6.72 eV/f.u.